(1)
## Ca2ZrAg (GGA-PBE)

Data for a relaxed structure of Ca2ZrAg.

For the calculated formation energy, the calculation gives 0.32 eV/atom. Its uncorrected energy is -3.53 eV/atom. Its total magnetization is 2.833 μB/f.u.

The structure belongs to space group I4/mmm (No. 139); the cell edges are 4.784, 4.784 and 9.621 Å and the angles 90.00°, 90.00° and 90.00°. The asymmetric unit holds Ca at (0.000, 0.500, 0.250), Zr at (0.000, 0.000, 0.000) and Ag at (0.000, 0.000, 0.500).

***

(2)
## Ca2ZrAg (GGA-PBE)

Data for a relaxed structure of Ca2ZrAg.

For the calculated formation energy, the calculation gives 0.09 eV/atom. Its uncorrected energy is -3.76 eV/atom. Its total magnetization is 0.000 μB/f.u.

The structure belongs to space group P4/mmm (No. 123); the cell edges are 3.385, 3.385 and 9.462 Å and the angles 90.00°, 90.00° and 90.00°. The asymmetric unit holds Ca at (0.000, 0.000, 0.228), Zr at (0.500, 0.500, 0.500) and Ag at (0.500, 0.500, 0.000).

***

(3)
## Ca2ZrAg2 (GGA-PBE)

Data for a relaxed structure of Ca2ZrAg2.

For the calculated formation energy, the calculation gives 0.34 eV/atom. Its uncorrected energy is -3.31 eV/atom. Its total magnetization is 2.314 μB/f.u.

The structure belongs to space group I4/mmm (No. 139); the cell edges are 4.545, 4.545 and 12.947 Å and the angles 90.00°, 90.00° and 90.00°. The asymmetric unit holds Ca at (0.000, 0.500, 0.250), Zr at (0.000, 0.000, 0.000) and Ag at (0.000, 0.000, 0.400).

***

(4)
## CaZrAg2 (GGA-PBE)

Data for a relaxed structure of CaZrAg2.

For the calculated formation energy, the calculation gives 0.01 eV/atom. Its uncorrected energy is -4.05 eV/atom. Its total magnetization is 0.000 μB/f.u.

The structure belongs to space group Cm (No. 8); the cell edges are 11.199, 3.090 and 5.303 Å and the angles 90.00°, 104.55° and 90.00°. The asymmetric unit holds Ca at (0.000, 0.000, 0.000), Zr at (0.293, 0.500, 0.387), Ag at (0.040, 0.500, 0.518) and Ag at (0.246, 0.000, 0.862).

***

(5)
## Ca2ZrAg (GGA-PBE)

Data for a relaxed structure of Ca2ZrAg.

For the calculated formation energy, the calculation gives 0.22 eV/atom. Its uncorrected energy is -3.63 eV/atom. Its total magnetization is 0.002 μB/f.u.

The structure belongs to space group Pm (No. 6); the cell edges are 3.623, 5.015 and 6.489 Å and the angles 90.00°, 106.17° and 90.00°. The asymmetric unit holds Ca at (0.000, 0.000, 0.000), Ca at (0.328, 0.500, 0.660), Zr at (0.611, 0.500, 0.220) and Ag at (0.721, 0.000, 0.451).

***

(6)
## Ca2ZrAg (GGA-PBE)

Data for a relaxed structure of Ca2ZrAg.

For the calculated formation energy, the calculation gives 0.26 eV/atom. Its uncorrected energy is -3.60 eV/atom. Its total magnetization is 0.509 μB/f.u.

The structure belongs to space group Cmmm (No. 65); the cell edges are 6.794, 9.450 and 3.387 Å and the angles 90.00°, 90.00° and 90.00°. The asymmetric unit holds Ca at (0.250, 0.250, 0.000), Zr at (0.000, 0.000, 0.500) and Ag at (0.000, 0.500, 0.500).

***

(7)
## CaZr2Ag (GGA-PBE)

Data for a relaxed structure of CaZr2Ag.

For the calculated formation energy, the calculation gives 0.18 eV/atom. Its uncorrected energy is -5.31 eV/atom. Its total magnetization is 0.000 μB/f.u.

The structure belongs to space group Pmmm (No. 47); the cell edges are 3.283, 5.069 and 5.732 Å and the angles 90.00°, 90.00° and 90.00°. The asymmetric unit holds Ca at (0.000, 0.000, 0.000), Zr at (0.000, 0.500, 0.500), Zr at (0.500, 0.000, 0.500) and Ag at (0.500, 0.500, 0.000).

***

(8)
## Ca2ZrAg (GGA-PBE)

Data for a relaxed structure of Ca2ZrAg.

For the calculated formation energy, the calculation gives 0.43 eV/atom. Its uncorrected energy is -3.42 eV/atom. Its total magnetization is 1.343 μB/f.u.

The structure belongs to space group I-42d (No. 122); the cell edges are 8.554, 8.554 and 6.342 Å and the angles 90.00°, 90.00° and 90.00°. The asymmetric unit holds Ca at (0.206, 0.250, 0.125), Zr at (0.000, 0.000, 0.500) and Ag at (0.000, 0.000, 0.000).

***

(9)
## CaZrAg2 (GGA-PBE)

Data for a relaxed structure of CaZrAg2.

For the calculated formation energy, the calculation gives 0.17 eV/atom. Its uncorrected energy is -3.89 eV/atom. Its total magnetization is 0.000 μB/f.u.

The structure belongs to space group F-43m (No. 216); the cell edges are 6.938, 6.938 and 6.938 Å and the angles 90.00°, 90.00° and 90.00°. The asymmetric unit holds Ca at (0.000, 0.000, 0.000), Zr at (0.250, 0.250, 0.250), Ag at (0.000, 0.000, 0.500) and Ag at (0.250, 0.250, 0.750).

***

(10)
## Ca4ZrAg (GGA-PBE)

Data for a relaxed structure of Ca4ZrAg.

For the calculated formation energy, the calculation gives 0.65 eV/atom. Its uncorrected energy is -2.58 eV/atom. Its total magnetization is 3.388 μB/f.u.

The structure belongs to space group F-43m (No. 216); the cell edges are 9.316, 9.316 and 9.316 Å and the angles 90.00°, 90.00° and 90.00°. The asymmetric unit holds Ca at (0.125, 0.125, 0.125), Zr at (0.250, 0.250, 0.750) and Ag at (0.000, 0.000, 0.500).

***

(11)
## CaZr2Ag (GGA-PBE)

Data for a relaxed structure of CaZr2Ag.

For the calculated formation energy, the calculation gives 0.32 eV/atom. Its uncorrected energy is -5.17 eV/atom. Its total magnetization is 0.002 μB/f.u.

The structure belongs to space group I-4m2 (No. 119); the cell edges are 4.577, 4.577 and 8.989 Å and the angles 90.00°, 90.00° and 90.00°. The asymmetric unit holds Ca at (0.000, 0.000, 0.000), Zr at (0.000, 0.000, 0.500), Zr at (0.000, 0.500, 0.750) and Ag at (0.000, 0.500, 0.250).

***

(12)
## CaZr2Ag (GGA-PBE)

Data for a relaxed structure of CaZr2Ag.

For the calculated formation energy, the calculation gives 0.21 eV/atom. Its uncorrected energy is -5.28 eV/atom. Its total magnetization is 0.000 μB/f.u.

The structure belongs to space group C2/m (No. 12); the cell edges are 5.982, 11.677 and 3.117 Å and the angles 90.00°, 118.32° and 90.00°. The asymmetric unit holds Ca at (0.000, 0.000, 0.000), Zr at (0.250, 0.250, 0.500) and Ag at (0.000, 0.500, 0.000).

***

(13)
## Ca2ZrAg (GGA-PBE)

Data for a relaxed structure of Ca2ZrAg.

For the calculated formation energy, the calculation gives 0.39 eV/atom. Its uncorrected energy is -3.46 eV/atom. Its total magnetization is 2.229 μB/f.u.

The structure belongs to space group Fm-3m (No. 225); the cell edges are 7.643, 7.643 and 7.643 Å and the angles 90.00°, 90.00° and 90.00°. The asymmetric unit holds Ca at (0.250, 0.250, 0.250), Zr at (0.000, 0.000, 0.000) and Ag at (0.000, 0.000, 0.500).

***

(14)
## CaZrAg3 (GGA-PBE)

Data for a relaxed structure of CaZrAg3.

For the calculated formation energy, the calculation gives 0.58 eV/atom. Its uncorrected energy is -3.24 eV/atom. Its total magnetization is 0.439 μB/f.u.

The structure belongs to space group Pm-3m (No. 221); the cell edges are 5.281, 5.281 and 5.281 Å and the angles 90.00°, 90.00° and 90.00°. The asymmetric unit holds Ca at (0.000, 0.000, 0.000), Zr at (0.500, 0.500, 0.500) and Ag at (0.000, 0.500, 0.500).

***

(15)
## CaZrAg2 (GGA-PBE)

Data for a relaxed structure of CaZrAg2.

For the calculated formation energy, the calculation gives -0.11 eV/atom. Its uncorrected energy is -4.17 eV/atom. Its total magnetization is 0.451 μB/f.u.

The structure belongs to space group Pmmm (No. 47); the cell edges are 3.500, 3.540 and 7.363 Å and the angles 90.00°, 90.00° and 90.00°. The asymmetric unit holds Ca at (0.000, 0.000, 0.000), Zr at (0.000, 0.000, 0.500) and Ag at (0.500, 0.500, 0.280).

***

(16)
## Ca2ZrAg2 (GGA-PBE)

Data for a relaxed structure of Ca2ZrAg2.

For the calculated formation energy, the calculation gives 0.20 eV/atom. Its uncorrected energy is -3.45 eV/atom. Its total magnetization is 0.000 μB/f.u.

The structure belongs to space group I4/mmm (No. 139); the cell edges are 3.763, 3.763 and 19.660 Å and the angles 90.00°, 90.00° and 90.00°. The asymmetric unit holds Ca at (0.000, 0.000, 0.116), Zr at (0.000, 0.000, 0.500) and Ag at (0.000, 0.500, 0.250).

***

(17)
## CaZrAg2 (GGA-PBE)

Data for a relaxed structure of CaZrAg2.

For the calculated formation energy, the calculation gives 0.15 eV/atom. Its uncorrected energy is -3.91 eV/atom. Its total magnetization is 0.338 μB/f.u.

The structure belongs to space group R-3m (No. 166, hexagonal axes); the cell edges are 3.2789, 3.2789 and 29.4299 Å and the angles 90.00°, 90.00° and 120.00°. The asymmetric unit holds Ca at (0.0000, 0.0000, 0.0000), Zr at (0.0000, 0.0000, 0.5000) and Ag at (0.0000, 0.0000, 0.2473).

***

(18)
## CaZrAg2 (GGA-PBE)

Data for a relaxed structure of CaZrAg2.

For the calculated formation energy, the calculation gives 0.05 eV/atom. Its uncorrected energy is -4.02 eV/atom. Its total magnetization is 0.000 μB/f.u.

The structure belongs to space group Imm2 (No. 44); the cell edges are 3.152, 5.149 and 11.119 Å and the angles 90.00°, 90.00° and 90.00°. The asymmetric unit holds Ca at (0.000, 0.000, 0.000), Zr at (0.000, 0.500, 0.209), Ag at (0.000, 0.000, 0.474) and Ag at (0.000, 0.500, 0.760).

***

(19)
## CaZr2Ag (GGA-PBE)

Data for a relaxed structure of CaZr2Ag.

For the calculated formation energy, the calculation gives 0.32 eV/atom. Its uncorrected energy is -5.16 eV/atom. Its total magnetization is 2.908 μB/f.u.

The structure belongs to space group F-43m (No. 216); the cell edges are 7.274, 7.274 and 7.274 Å and the angles 90.00°, 90.00° and 90.00°. The asymmetric unit holds Ca at (0.000, 0.000, 0.000), Zr at (0.000, 0.000, 0.500), Zr at (0.250, 0.250, 0.250) and Ag at (0.250, 0.250, 0.750).

***

(20)
## CaZr2Ag (GGA-PBE)

Data for a relaxed structure of CaZr2Ag.

For the calculated formation energy, the calculation gives 0.14 eV/atom. Its uncorrected energy is -5.35 eV/atom. Its total magnetization is 0.000 μB/f.u.

The structure belongs to space group Cm (No. 8); the cell edges are 11.072, 3.168 and 6.043 Å and the angles 90.00°, 114.33° and 90.00°. The asymmetric unit holds Ca at (0.000, 0.000, 0.000), Zr at (0.056, 0.500, 0.533), Zr at (0.298, 0.500, 0.393) and Ag at (0.259, 0.000, 0.935).

***

(21)
## Ca2ZrAg (GGA-PBE)

Data for a relaxed structure of Ca2ZrAg.

For the calculated formation energy, the calculation gives 0.19 eV/atom. Its uncorrected energy is -3.66 eV/atom. Its total magnetization is 0.000 μB/f.u.

The structure belongs to space group R-3m (No. 166, hexagonal axes); the cell edges are 3.5174, 3.5174 and 31.1043 Å and the angles 90.00°, 90.00° and 120.00°. The asymmetric unit holds Ca at (0.0000, 0.0000, 0.2438), Zr at (0.0000, 0.0000, 0.0000) and Ag at (0.0000, 0.0000, 0.5000).

***

(22)
## CaZr2Ag (GGA-PBE)

Data for a relaxed structure of CaZr2Ag.

For the calculated formation energy, the calculation gives 0.33 eV/atom. Its uncorrected energy is -5.16 eV/atom. Its total magnetization is 0.000 μB/f.u.

The structure belongs to space group Pmmm (No. 47); the cell edges are 3.283, 4.766 and 6.073 Å and the angles 90.00°, 90.00° and 90.00°. The asymmetric unit holds Ca at (0.000, 0.000, 0.000), Zr at (0.500, 0.500, 0.267) and Ag at (0.000, 0.000, 0.500).

***

(23)
## Ca2ZrAg (GGA-PBE)

Data for a relaxed structure of Ca2ZrAg.

For the calculated formation energy, the calculation gives 0.32 eV/atom. Its uncorrected energy is -3.53 eV/atom. Its total magnetization is 2.598 μB/f.u.

The structure belongs to space group I-4m2 (No. 119); the cell edges are 4.648, 4.648 and 10.227 Å and the angles 90.00°, 90.00° and 90.00°. The asymmetric unit holds Ca at (0.000, 0.000, 0.000), Ca at (0.000, 0.500, 0.250), Zr at (0.000, 0.500, 0.750) and Ag at (0.000, 0.000, 0.500).

***

(24)
## CdAg2 (GGA-PBE)

Data for a relaxed structure of CdAg2.

For the calculated formation energy, the calculation gives -0.01 eV/atom. Its uncorrected energy is -2.22 eV/atom. Its total magnetization is 0.000 μB/f.u.

The structure belongs to space group P-3m1 (No. 164); the cell edges are 4.7173, 4.7173 and 2.9413 Å and the angles 90.00°, 90.00° and 120.00°. The asymmetric unit holds Cd at (0.0000, 0.0000, 0.0000) and Ag at (0.3333, 0.6667, 0.6619).

***

(25)
## CdAg2 (GGA-PBE)

Data for a relaxed structure of CdAg2.

For the calculated formation energy, the calculation gives 0.05 eV/atom. Its uncorrected energy is -2.16 eV/atom. Its total magnetization is 0.000 μB/f.u.

The structure belongs to space group P6_3/mmc (No. 194); the cell edges are 5.6295, 5.6295 and 17.5958 Å and the angles 90.00°, 90.00° and 120.00°. The asymmetric unit holds Cd at (0.0000, 0.0000, 0.0951), Cd at (0.3333, 0.6667, 0.1540), Ag at (0.0000, 0.5000, 0.0000), Ag at (0.1620, 0.3240, 0.7500) and Ag at (0.3333, 0.6667, 0.6260).

***

(26)
## Cd3Ag4 (GGA-PBE)

Data for a relaxed structure of Cd3Ag4.

For the calculated formation energy, the calculation gives -0.05 eV/atom. Its uncorrected energy is -2.07 eV/atom. Its total magnetization is 0.000 μB/f.u.

The structure belongs to space group Immm (No. 71); the cell edges are 3.059, 4.143 and 21.175 Å and the angles 90.00°, 90.00° and 90.00°. The asymmetric unit holds Cd at (0.000, 0.000, 0.000), Cd at (0.000, 0.000, 0.146), Ag at (0.000, 0.000, 0.285) and Ag at (0.000, 0.000, 0.428).

***

(27)
## Cd13Ag2 (GGA-PBE)

Data for a relaxed structure of Cd13Ag2.

For the calculated formation energy, the calculation gives 0.02 eV/atom. Its uncorrected energy is -1.15 eV/atom. Its total magnetization is 0.000 μB/f.u.

The structure belongs to space group P-1 (No. 2); the cell edges are 5.666, 7.349 and 8.790 Å and the angles 110.85°, 93.84° and 97.68°. The asymmetric unit holds Cd at (0.000, 0.000, 0.000), Cd at (0.037, 0.447, 0.677), Cd at (0.255, 0.999, 0.574), Cd at (0.264, 0.361, 0.964), Cd at (0.274, 0.805, 0.171), Cd at (0.405, 0.821, 0.824), Cd at (0.470, 0.585, 0.367) and Ag at (0.157, 0.213, 0.346).

***

(28)
## CdAg3 (GGA-PBE)

Data for a relaxed structure of CdAg3.

For the calculated formation energy, the calculation gives -0.02 eV/atom. Its uncorrected energy is -2.39 eV/atom. Its total magnetization is 0.000 μB/f.u.

The structure belongs to space group Cmmm (No. 65); the cell edges are 5.918, 8.216 and 3.056 Å and the angles 90.00°, 90.00° and 90.00°. The asymmetric unit holds Cd at (0.000, 0.000, 0.000), Ag at (0.000, 0.500, 0.000) and Ag at (0.250, 0.250, 0.500).